Material: Ba4HRhCl2
Method: DFT, PBE
State: optimized geometry

Geometry as POSCAR:
```
Ba4HRhCl2
1.0
4.4192 0.0000 0.0000
0.0000 7.4452 0.1307
0.0000 -2.6100 7.9936
H Ba Cl Rh
1 4 2 1
Direct
0.0000 0.0000 0.0000 H
0.5000 0.7566 0.7840 Ba
0.5000 0.2434 0.2160 Ba
0.0000 0.7436 0.2179 Ba
0.0000 0.2564 0.7821 Ba
0.0000 0.5000 0.5000 Cl
0.5000 0.0000 0.5000 Cl
0.5000 0.5000 0.0000 Rh
```

## Properties
The space-group type is P2/m, No. 10.

=====

Material: Ba2HRhCl
Method: DFT, PBE
State: optimized geometry

Geometry as POSCAR:
```
Ba2HRhCl
1.0
-5.2590 -1.6678 1.3688
-0.9453 -1.4607 -5.4116
1.2658 -3.4159 0.7009
Cl H Ba Rh
1 1 2 1
Direct
0.5000 0.5000 0.5000 Cl
0.0000 0.0000 0.0000 H
0.0000 0.5000 0.0000 Ba
0.5000 0.0000 0.0000 Ba
0.0000 0.0000 0.5000 Rh
```

## Properties
The space-group type is P4/mmm, No. 123.

=====

| no. | energy (eV per atom) |
| --- | --- |
| 1 | -3.82 |
| 2 | -4.15 |